# CoS6F2, optimized geometry, DFT PBE+U
# Total energy in eV/atom: -4.232
# Crystal system: triclinic
# ρ in g/cm³: 2.40
data_CoS6F2
_space_group_name_H-M_alt 'P -1'
_space_group_IT_number 2
_space_group_name_Hall '-P 1'
_cell_length_a 4.1398
_cell_length_b 7.1536
_cell_length_c 7.3017
_cell_angle_alpha 71.76
_cell_angle_beta 77.94
_cell_angle_gamma 81.65
loop_
_atom_site_label
_atom_site_type_symbol
_atom_site_fract_x
_atom_site_fract_y
_atom_site_fract_z
_atom_site_occupancy
Co1 Co 0.0000 0.0000 0.0000 1
S1 S 0.0090 0.4596 0.2508 1
S2 S 0.1580 0.7132 0.2835 1
S3 S 0.1817 0.2402 0.4755 1
F1 F 0.3746 0.9212 0.8468 1